Entry 1:
La6Tl3Cd: relaxed, GGA-PBE.

The space group is P2_1/m (No. 11) and the conventional cell measures 9.831, 5.559 and 12.259 Å, with angles of 90.00, 107.10 and 90.00 degrees. The asymmetric unit holds La at (0.036, 0.250, 0.412), La at (0.160, 0.750, 0.180), La at (0.247, 0.250, 0.003), La at (0.348, 0.750, 0.806), La at (0.375, 0.250, 0.355), La at (0.416, 0.250, 0.619), Tl at (0.038, 0.750, 0.881), Tl at (0.133, 0.250, 0.718), Tl at (0.266, 0.750, 0.475) and Cd at (0.460, 0.750, 0.096).


Entry 2:
LaTlCd: relaxed, GGA-PBE.

The space group is I4mm (No. 107) and the conventional cell measures 3.671, 3.671 and 12.681 Å, with angles of 90.00, 90.00 and 90.00 degrees. The asymmetric unit holds La at (0.000, 0.000, 0.000), Tl at (0.000, 0.000, 0.681) and Cd at (0.000, 0.000, 0.327).


| no. | ρ (g/cm3) | calculated formation energy (eV per atom) | DOS at the Fermi energy (states/eV/cell) |
| --- | --- | --- | --- |
| 1 | 8.085 | -0.31 | 21.72 |
| 2 | 8.855 | -0.26 | 2.82 |